[1]
First-principles (PBE) data for an optimized crystal structure of Na2ZnRh, as listed in Alexandria.

Lattice parameters (Å, degrees): 7.9044 7.9044 5.1409 90.00 90.00 90.00
Last column: nearest neighbours and their distance in Å.
Space group I-42d (No. 122)
Asymmetric unit:
Na1 0.2460 0.2500 0.1250  2 Na 2.57, 2 Rh 2.85
Zn1 0.0000 0.0000 0.5000  2 Rh 2.57
Rh1 0.0000 0.0000 0.0000  2 Zn 2.57, 4 Na 2.85

Calculated values
Energy of formation (eV per atom): 0.35
V (Å³ per cell): 321.2
Magnetization (μB/atom): 0.00

[2]
First-principles (PBE) data for an optimized crystal structure of Nd12Tl3Bi, as listed in Alexandria.

Lattice parameters (Å, degrees): 5.0058 5.0058 19.9212 90.00 90.00 90.00
Last column: nearest neighbours and their distance in Å.
Space group P4/mmm (No. 123)
Asymmetric unit:
Nd1 0.0000 0.0000 0.0000  8 Nd 3.52, 4 Bi 3.54
Nd2 0.0000 0.0000 0.2486  8 Nd 3.53-3.54, 4 Tl 3.54
Nd3 0.0000 0.0000 0.5000  4 Tl 3.54, 8 Nd 3.54
Nd4 0.0000 0.5000 0.1240  2 Bi 3.52, 8 Nd 3.52-3.54, 2 Tl 3.56
Nd5 0.0000 0.5000 0.3741  4 Tl 3.50-3.54, 8 Nd 3.54
Tl1 0.5000 0.5000 0.2511  12 Nd 3.50-3.56
Tl2 0.5000 0.5000 0.5000  12 Nd 3.54
Bi1 0.5000 0.5000 0.0000  12 Nd 3.52-3.54

Calculated values
Energy of formation (eV per atom): -0.27
V (Å³ per cell): 499.2
Magnetization (μB/atom): 0.00

[3]
First-principles (PBE) data for an optimized crystal structure of TiNb6W5, as listed in Alexandria.

Lattice parameters (Å, degrees): 4.6008 6.5028 13.7465 90.00 90.00 90.00
Last column: nearest neighbours and their distance in Å.
Space group Immm (No. 71)
Asymmetric unit:
Ti1 0.0000 0.0000 0.0000  8 Nb 2.83
Nb1 0.0000 0.2468 0.5000  6 W 2.79-2.81, 2 Ti 2.83
Nb2 0.0000 0.2521 0.1682  7 W 2.80-2.83, 1 Ti 2.83
W1 0.0000 0.0000 0.3329  8 Nb 2.80-2.81
W2 0.0000 0.5000 0.0000  8 Nb 2.81-2.82
W3 0.0000 0.5000 0.3359  8 Nb 2.79-2.83

Calculated values
Energy of formation (eV per atom): -0.04
V (Å³ per cell): 411.3
Magnetization (μB/atom): 0.00

[4]
First-principles (PBE) data for an optimized crystal structure of ZnAgPt2, as listed in Alexandria.

Lattice parameters (Å, degrees): 3.8353 3.8353 18.7625 90.00 90.00 90.00
Last column: nearest neighbours and their distance in Å.
Space group I-42d (No. 122)
Asymmetric unit:
Zn1 0.0000 0.0000 0.0000  4 Pt 2.70, 4 Ag 2.71
Ag1 0.0000 0.0000 0.5000  4 Zn 2.71, 4 Pt 2.72
Pt1 0.2419 0.2500 0.1250  4 Pt 2.67-2.76, 2 Zn 2.70, 2 Ag 2.72

Calculated values
Energy of formation (eV per atom): 0.07
V (Å³ per cell): 276.0
Magnetization (μB/atom): 0.00

[5]
First-principles (PBE) data for an optimized crystal structure of RbCd3Pt, as listed in Alexandria.

Lattice parameters (Å, degrees): 5.3472 5.3472 5.3472 90.00 90.00 90.00
Last column: nearest neighbours and their distance in Å.
Space group Pm-3m (No. 221)
Asymmetric unit:
Rb1 0.0000 0.0000 0.0000  12 Cd 3.78
Cd1 0.0000 0.5000 0.5000  2 Pt 2.67
Pt1 0.5000 0.5000 0.5000  6 Cd 2.67

Calculated values
Energy of formation (eV per atom): -0.25
V (Å³ per cell): 152.9
Relative energy among the computed polymorphs (kJ per mole of atoms): 0.0
Magnetization (μB/atom): 0.00

[6]
First-principles (PBE) data for an optimized crystal structure of Sc4Zn, as listed in Alexandria.

Lattice parameters (Å, degrees): 10.8684 14.7631 5.5407 90.00 90.00 90.00
Last column: nearest neighbours and their distance in Å.
Space group Fdd2 (No. 43)
Asymmetric unit:
Sc1 0.0427 0.1987 0.0000  2 Zn 2.84-2.98, 5 Sc 3.05-3.15
Sc2 0.0506 0.0992 0.4964  3 Zn 3.01-3.36, 9 Sc 3.05-3.21
Zn1 0.0000 0.0000 0.0321  6 Sc 2.84-3.01

Calculated values
Energy of formation (eV per atom): -0.04
V (Å³ per cell): 889.0
Relative energy among the computed polymorphs (kJ per mole of atoms): 7.6
Magnetization (μB/atom): 0.00

[7]
First-principles (PBE) data for an optimized crystal structure of UTiAlRe, as listed in Alexandria.

Lattice parameters (Å, degrees): 6.4948 6.4948 6.4948 90.00 90.00 90.00
Last column: nearest neighbours and their distance in Å.
Space group F-43m (No. 216)
Asymmetric unit:
U1 0.0000 0.0000 0.0000  4 Re 2.81, 4 Ti 2.81
Ti1 0.2500 0.2500 0.2500  4 U 2.81, 4 Al 2.81
Al1 0.0000 0.0000 0.5000  4 Re 2.81, 4 Ti 2.81
Re1 0.2500 0.2500 0.7500  4 U 2.81, 4 Al 2.81

Calculated values
Energy of formation (eV per atom): -0.09
V (Å³ per cell): 274.0
Magnetization (μB/atom): 0.11

[8]
First-principles (PBE) data for an optimized crystal structure of Hg2PtPb, as listed in Alexandria.

Lattice parameters (Å, degrees): 4.8364 4.8364 7.7854 90.00 90.00 90.00
Last column: nearest neighbours and their distance in Å.
Space group I-4m2 (No. 119)
Asymmetric unit:
Hg1 0.0000 0.0000 0.0000  4 Hg 3.10, 4 Pb 3.10, 4 Pt 3.42
Hg2 0.0000 0.5000 0.2500  4 Hg 3.10, 4 Pt 3.10, 4 Pb 3.42
Pt1 0.0000 0.0000 0.5000  8 Hg 3.10-3.42, 4 Pb 3.10
Pb1 0.0000 0.5000 0.7500  8 Hg 3.10-3.42, 4 Pt 3.10

Calculated values
Energy of formation (eV per atom): 0.13
V (Å³ per cell): 182.1
Magnetization (μB/atom): 0.00

[9]
First-principles (PBE) data for an optimized crystal structure of TcAs2HSe, as listed in Alexandria.

Lattice parameters (Å, degrees): 3.9148 3.9148 4.9768 90.00 90.00 90.00
Last column: nearest neighbours and their distance in Å.
Space group P4/mmm (No. 123)
Asymmetric unit:
Tc1 0.0000 0.0000 0.0000  4 Se 2.77
As1 0.0000 0.5000 0.5000  2 H 1.96
H1 0.5000 0.5000 0.5000  4 As 1.96
Se1 0.5000 0.5000 0.0000  2 H 2.49, 4 Tc 2.77

Calculated values
V (Å³ per cell): 76.3
Relative energy among the computed polymorphs (kJ per mole of atoms): 0.0
Magnetization (μB/atom): 0.37

[10]
First-principles (PBE) data for an optimized crystal structure of Ce3AlB2N6, as listed in Alexandria.

Lattice parameters (Å, degrees): 5.2958 5.2958 6.1637 90.00 90.00 120.00
Last column: nearest neighbours and their distance in Å.
Space group P-3m1 (No. 164)
Asymmetric unit:
Ce1 0.0000 0.0000 0.0000  6 N 2.43
Ce2 0.3333 0.6667 0.6661  1 B 2.50, 9 N 2.66-2.70
Al1 0.0000 0.0000 0.5000  6 N 2.04
B1 0.3333 0.6667 0.2607  3 N 1.47
N1 0.1751 0.3501 0.2966  1 B 1.47

Calculated values
V (Å³ per cell): 149.7
Uncorrected energy (eV per atom): -8.22
Magnetization (μB/atom): 0.22

[11]
First-principles (PBE) data for an optimized crystal structure of YCr2BTe, as listed in Alexandria.

Lattice parameters (Å, degrees): 4.8363 4.8363 4.5131 90.00 90.00 90.00
Last column: nearest neighbours and their distance in Å.
Space group P4/mmm (No. 123)
Asymmetric unit:
Y1 0.0000 0.0000 0.0000  2 B 2.26, 4 Cr 2.42
Cr1 0.0000 0.5000 0.0000  2 Y 2.42
B1 0.0000 0.0000 0.5000  2 Y 2.26
Te1 0.5000 0.5000 0.5000  8 Cr 3.31, 4 B 3.42

Calculated values
V (Å³ per cell): 105.6
Uncorrected energy (eV per atom): -4.87
Magnetization (μB/atom): 0.01

[12]
First-principles (PBE) data for an optimized crystal structure of B5C7, as listed in Alexandria.

Lattice parameters (Å, degrees): 2.5862 2.5862 13.5184 90.00 90.00 120.00
Last column: nearest neighbours and their distance in Å.
Space group P3m1 (No. 156)
Asymmetric unit:
B1 0.0000 0.0000 0.0000  4 C 1.63-1.66
B2 0.0000 0.0000 0.3738  4 C 1.62-1.65
B3 0.3333 0.6667 0.1645  4 C 1.58-1.65
B4 0.3333 0.6667 0.6486  1 C 1.59
B5 0.6667 0.3333 0.7243  1 C 1.59
C1 0.0000 0.0000 0.4938  3 C 1.58, 1 B 1.62
C2 0.0000 0.0000 0.8775  3 C 1.57, 1 B 1.66
C3 0.3333 0.6667 0.0476  4 B 1.58-1.63
C4 0.3333 0.6667 0.5310  3 C 1.58, 1 B 1.59
C5 0.6667 0.3333 0.2172  1 C 1.42
C6 0.6667 0.3333 0.3223  1 C 1.42
C7 0.6667 0.3333 0.8422  3 C 1.57, 1 B 1.59

Calculated values
Energy of formation (eV per atom): 0.36
V (Å³ per cell): 78.3
Relative energy among the computed polymorphs (kJ per mole of atoms): 9.6
Magnetization (μB/atom): 0.00